{"formula": "NiP2W", "functional": "GGA-PBE", "state": "relaxed", "lattice_angstrom": [[4.478, -0.016, 0.022], [3.386, 2.931, 0.022], [0.914, 0.339, 4.001]], "species": ["P", "P", "Ni", "W"], "fractional_positions": [[0.998, 0.998, 0.932], [0.241, 0.241, 0.326], [0.744, 0.744, 0.820], [0.517, 0.517, 0.422]], "dos_at_fermi_per_ev_cell": 1.66, "sg": "No. 8", "formation_enthalpy_0k_ev_per_atom": -0.17}

{"formula": "Ni2PW", "functional": "GGA-PBE", "state": "relaxed", "lattice_angstrom": [[-2.342, 3.848, -0.561], [1.569, -1.836, -3.843], [-2.298, -1.436, -0.252]], "species": ["P", "Ni", "Ni", "W"], "fractional_positions": [[0.500, 0.500, 0.500], [0.500, 0.000, 0.000], [0.000, 0.500, 0.000], [0.000, 0.000, 0.500]], "dos_at_fermi_per_ev_cell": 3.18, "sg": "No. 65", "formation_enthalpy_0k_ev_per_atom": 0.04}

{"formula": "Ni2PW", "functional": "GGA-PBE", "state": "relaxed", "lattice_angstrom": [[-0.138, 2.251, -2.105], [-3.675, -1.055, -0.887], [-1.422, 2.566, 2.837]], "species": ["Ni", "Ni", "P", "W"], "fractional_positions": [[0.000, 0.000, 0.000], [0.500, 0.500, 0.000], [0.500, 0.000, 0.500], [0.000, 0.500, 0.500]], "dos_at_fermi_per_ev_cell": 2.54, "sg": "No. 47", "formation_enthalpy_0k_ev_per_atom": -0.05}

{"formula": "NiP2W", "functional": "GGA-PBE", "state": "relaxed", "lattice_angstrom": [[-4.940, 1.864, -2.328], [-4.021, -2.482, -3.311], [3.371, -0.429, 4.663]], "species": ["Ni", "P", "P", "W"], "fractional_positions": [[0.215, 0.715, 0.500], [0.050, 0.050, 0.000], [0.781, 0.281, 0.500], [0.454, 0.454, 0.000]], "dos_at_fermi_per_ev_cell": 2.77, "sg": "No. 44", "formation_enthalpy_0k_ev_per_atom": -0.17}

{"formula": "Ni2PW", "functional": "GGA-PBE", "state": "relaxed", "lattice_angstrom": [[3.511, 0.000, 0.000], [0.000, 3.511, 0.000], [1.756, 1.756, 8.637]], "species": ["P", "P", "W", "W", "Ni", "Ni", "Ni", "Ni"], "fractional_positions": [[0.500, 0.500, 0.000], [0.250, 0.750, 0.500], [0.000, 0.000, 0.000], [0.750, 0.250, 0.500], [0.609, 0.125, 0.250], [0.875, 0.859, 0.750], [0.375, 0.391, 0.750], [0.141, 0.625, 0.250]], "dos_at_fermi_per_ev_cell": 10.11, "sg": "No. 122", "formation_enthalpy_0k_ev_per_atom": 0.23}

{"formula": "NiP2W2", "functional": "GGA-PBE", "state": "relaxed", "lattice_angstrom": [[6.620, 0.000, 0.000], [0.000, 6.620, 0.000], [0.000, 0.000, 3.126]], "species": ["W", "W", "W", "W", "P", "P", "P", "P", "Ni", "Ni"], "fractional_positions": [[0.149, 0.649, 0.500], [0.351, 0.149, 0.500], [0.851, 0.351, 0.500], [0.649, 0.851, 0.500], [0.149, 0.351, 0.000], [0.351, 0.851, 0.000], [0.851, 0.649, 0.000], [0.649, 0.149, 0.000], [0.000, 0.000, 0.000], [0.500, 0.500, 0.000]], "dos_at_fermi_per_ev_cell": 8.68, "polymorph_energy_mev_per_atom": 0, "sg": "No. 127", "formation_enthalpy_0k_ev_per_atom": -0.03}

{"formula": "Ni3PW", "functional": "GGA-PBE", "state": "relaxed", "lattice_angstrom": [[-3.582, 0.829, 2.607], [-2.637, -2.187, -2.928], [0.727, -3.852, 2.223]], "species": ["Ni", "Ni", "Ni", "P", "W"], "fractional_positions": [[0.000, 0.000, 0.500], [0.500, 0.000, 0.000], [0.000, 0.500, 0.000], [0.500, 0.500, 0.500], [0.000, 0.000, 0.000]], "dos_at_fermi_per_ev_cell": 5.93, "polymorph_energy_mev_per_atom": 1092, "sg": "No. 221", "formation_enthalpy_0k_ev_per_atom": 1.64}

{"formula": "NiP2W", "functional": "GGA-PBE", "state": "relaxed", "lattice_angstrom": [[-3.491, 0.839, 2.247], [0.200, 0.203, 4.226], [-0.409, 3.731, 1.963]], "species": ["W", "P", "P", "Ni"], "fractional_positions": [[0.250, 0.250, 0.250], [0.000, 0.000, 0.000], [0.750, 0.750, 0.750], [0.500, 0.500, 0.500]], "dos_at_fermi_per_ev_cell": 4.01, "sg": "No. 216", "formation_enthalpy_0k_ev_per_atom": 0.46}

{"formula": "Ni2PW", "functional": "GGA-PBE", "state": "relaxed", "lattice_angstrom": [[-1.778, 2.059, 3.401], [1.778, -2.059, 3.401], [1.778, 2.059, -3.401]], "species": ["Ni", "Ni", "P", "W"], "fractional_positions": [[0.289, 0.789, 0.500], [0.010, 0.010, 0.000], [0.475, 0.475, 0.000], [0.726, 0.226, 0.500]], "dos_at_fermi_per_ev_cell": 3.69, "sg": "No. 44", "formation_enthalpy_0k_ev_per_atom": -0.08}

{"formula": "Ni4PW", "functional": "GGA-PBE", "state": "relaxed", "lattice_angstrom": [[0.000, 3.306, 3.306], [3.306, 0.000, 3.306], [3.306, 3.306, 0.000]], "species": ["Ni", "Ni", "Ni", "Ni", "P", "W"], "fractional_positions": [[0.375, 0.375, 0.876], [0.375, 0.375, 0.375], [0.876, 0.375, 0.375], [0.375, 0.876, 0.375], [0.750, 0.750, 0.750], [0.000, 0.000, 0.000]], "dos_at_fermi_per_ev_cell": 10.15, "sg": "No. 216", "formation_enthalpy_0k_ev_per_atom": 0.23}

{"formula": "NiP2W", "functional": "GGA-PBE", "state": "relaxed", "lattice_angstrom": [[3.241, 0.000, 0.000], [0.000, 3.241, 0.000], [0.000, 0.000, 4.994]], "species": ["Ni", "W", "P", "P"], "fractional_positions": [[0.500, 0.500, 0.821], [0.000, 0.000, 0.461], [0.000, 0.000, 0.944], [0.500, 0.500, 0.273]], "dos_at_fermi_per_ev_cell": 1.14, "sg": "No. 99", "formation_enthalpy_0k_ev_per_atom": -0.26}

{"formula": "Ni2PW", "functional": "GGA-PBE", "state": "relaxed", "lattice_angstrom": [[3.864, 0.000, 0.000], [0.000, 2.770, 0.003], [0.000, 1.119, 4.679]], "species": ["W", "Ni", "Ni", "P"], "fractional_positions": [[0.500, 0.000, 0.500], [0.000, 0.400, 0.761], [0.000, 0.600, 0.239], [0.500, 0.500, 0.000]], "dos_at_fermi_per_ev_cell": 3.27, "sg": "No. 10", "formation_enthalpy_0k_ev_per_atom": -0.11}

{"formula": "NiP2W", "functional": "GGA-PBE", "state": "relaxed", "lattice_angstrom": [[-1.816, -2.443, 0.317], [2.350, -1.600, 1.134], [-1.322, 1.638, 5.049]], "species": ["P", "P", "W", "Ni"], "fractional_positions": [[0.000, 0.000, 0.992], [0.000, 0.000, 0.508], [0.500, 0.500, 0.250], [0.500, 0.500, 0.750]], "dos_at_fermi_per_ev_cell": 2.93, "sg": "No. 123", "formation_enthalpy_0k_ev_per_atom": -0.09}

{"formula": "Ni2PW", "functional": "GGA-PBE", "state": "relaxed", "lattice_angstrom": [[-1.841, -0.278, -2.065], [2.016, -0.934, -1.672], [-1.202, -5.950, 1.873]], "species": ["P", "W", "Ni", "Ni"], "fractional_positions": [[0.500, 0.500, 0.000], [0.500, 0.500, 0.500], [0.000, 0.000, 0.205], [0.000, 0.000, 0.795]], "dos_at_fermi_per_ev_cell": 3.24, "sg": "No. 123", "formation_enthalpy_0k_ev_per_atom": -0.03}

{"formula": "Ni2PW", "functional": "GGA-PBE", "state": "relaxed", "lattice_angstrom": [[1.379, 4.420, 0.027], [-1.379, 4.420, 0.027], [0.000, 1.828, 4.152]], "species": ["Ni", "Ni", "P", "W"], "fractional_positions": [[0.216, 0.216, 0.216], [0.983, 0.983, 0.022], [0.525, 0.525, 0.586], [0.776, 0.776, 0.676]], "dos_at_fermi_per_ev_cell": 2.03, "sg": "No. 8", "formation_enthalpy_0k_ev_per_atom": -0.11}

{"formula": "Ni2PW", "functional": "GGA-PBE", "state": "relaxed", "lattice_angstrom": [[-1.410, 2.063, 4.224], [1.410, -2.063, 4.224], [1.410, 2.063, -4.224]], "species": ["P", "Ni", "Ni", "W"], "fractional_positions": [[0.500, 0.000, 0.500], [0.280, 0.280, 0.000], [0.720, 0.720, 0.000], [0.000, 0.500, 0.500]], "dos_at_fermi_per_ev_cell": 3.98, "sg": "No. 71", "formation_enthalpy_0k_ev_per_atom": -0.12}

{"formula": "NiP2W", "functional": "GGA-PBE", "state": "relaxed", "lattice_angstrom": [[4.252, 0.003, -0.067], [3.160, 2.846, -0.067], [0.192, 0.074, 4.650]], "species": ["P", "P", "W", "Ni"], "fractional_positions": [[0.968, 0.968, 0.035], [0.532, 0.532, 0.465], [0.250, 0.250, 0.250], [0.750, 0.750, 0.750]], "dos_at_fermi_per_ev_cell": 3.00, "sg": "No. 12", "formation_enthalpy_0k_ev_per_atom": 0.01}

{"formula": "NiP2W", "functional": "GGA-PBE", "state": "relaxed", "lattice_angstrom": [[5.297, 0.000, 0.000], [0.000, 5.297, 0.000], [2.649, 2.649, 5.126]], "species": ["W", "W", "P", "P", "P", "P", "Ni", "Ni"], "fractional_positions": [[0.750, 0.250, 0.500], [0.000, 0.000, 0.000], [0.147, 0.625, 0.250], [0.875, 0.853, 0.750], [0.375, 0.397, 0.750], [0.603, 0.125, 0.250], [0.500, 0.500, 0.000], [0.250, 0.750, 0.500]], "dos_at_fermi_per_ev_cell": 4.77, "sg": "No. 122", "formation_enthalpy_0k_ev_per_atom": 0.09}

{"formula": "NiP2W", "functional": "GGA-PBE", "state": "relaxed", "lattice_angstrom": [[-1.322, 7.011, -1.477], [-0.812, 5.882, -4.223], [-3.542, 5.630, -2.974]], "species": ["P", "P", "W", "Ni"], "fractional_positions": [[0.251, 0.251, 0.251], [0.006, 0.006, 0.006], [0.505, 0.505, 0.505], [0.738, 0.738, 0.738]], "dos_at_fermi_per_ev_cell": 2.80, "sg": "No. 160", "formation_enthalpy_0k_ev_per_atom": 0.04}

{"formula": "YNiP", "functional": "GGA-PBE", "state": "relaxed", "lattice_angstrom": [[-2.980, 0.382, 2.459], [0.007, -2.875, -2.610], [3.647, -4.661, 5.144]], "species": ["Y", "Y", "Ni", "Ni", "P", "P"], "fractional_positions": [[0.000, 0.000, 0.500], [0.000, 0.000, 0.000], [0.333, 0.667, 0.750], [0.667, 0.333, 0.250], [0.667, 0.333, 0.750], [0.333, 0.667, 0.250]], "dos_at_fermi_per_ev_cell": 3.44, "sg": "No. 194", "formation_enthalpy_0k_ev_per_atom": -1.22}